# 1
An optimized crystal structure of RbSb5Te8, computed with PBE.

a b c (Å): 4.367 10.839 11.574
angles (deg): 103.32 100.87 90.00
Element x y z (fractional)
1 Rb 0.500 0.499 0.999
2 Sb 0.295 0.656 0.590
3 Sb 0.705 0.345 0.410
4 Sb 0.345 0.027 0.690
5 Sb 0.655 0.973 0.310
6 Sb 0.000 0.000 0.000
7 Te 0.235 0.157 0.469
8 Te 0.765 0.843 0.531
9 Te 0.166 0.504 0.331
10 Te 0.834 0.496 0.669
11 Te 0.083 0.811 0.166
12 Te 0.917 0.189 0.834
13 Te 0.426 0.835 0.852
14 Te 0.574 0.165 0.148


# 2
An optimized crystal structure of RbSbTe, computed with PBE.

polymorph energy (0 for the lowest one) = 0.000 eV/atom

a b c (Å): 4.191 6.395 9.238
angles (deg): 94.70 90.00 90.00
Element x y z (fractional)
1 Rb 0.361 0.692 0.559
2 Rb 0.361 0.320 0.935
3 Sb 0.861 0.225 0.287
4 Sb 0.861 0.788 0.208
5 Te 0.861 0.821 0.914
6 Te 0.861 0.191 0.580


# 3
An optimized crystal structure of Rb4SbTe4, computed with PBE.

polymorph energy (0 for the lowest one) = 0.104 eV/atom

a b c (Å): 7.346 8.669 8.669
angles (deg): 79.66 64.93 64.93
Element x y z (fractional)
1 Rb 0.802 0.612 0.784
2 Rb 0.198 0.388 0.216
3 Rb 0.586 0.216 0.612
4 Rb 0.414 0.784 0.388
5 Sb 0.000 0.000 0.000
6 Te 0.749 0.338 0.165
7 Te 0.251 0.662 0.835
8 Te 0.913 0.835 0.338
9 Te 0.087 0.165 0.662


# 4
An optimized crystal structure of RbSb2Te3, computed with PBE.

polymorph energy (0 for the lowest one) = 0.110 eV/atom

a b c (Å): 7.381 8.396 8.396
angles (deg): 86.57 90.00 90.00
Element x y z (fractional)
1 Rb 0.250 0.321 0.679
2 Rb 0.750 0.679 0.321
3 Sb 0.000 0.188 0.188
4 Sb 0.500 0.188 0.188
5 Sb 0.000 0.812 0.812
6 Sb 0.500 0.812 0.812
7 Te 0.750 0.083 0.917
8 Te 0.750 0.160 0.458
9 Te 0.250 0.458 0.160
10 Te 0.750 0.542 0.840
11 Te 0.250 0.840 0.542
12 Te 0.250 0.917 0.083


# 5
An optimized crystal structure of Rb3Th3SbTe8, computed with PBE.

a b c (Å): 9.046 9.044 10.244
angles (deg): 116.20 90.00 119.99
Element x y z (fractional)
1 Rb 0.000 0.000 0.000
2 Rb 0.000 0.500 0.000
3 Rb 0.500 0.500 0.000
4 Th 0.500 0.000 0.500
5 Th 0.500 0.500 0.500
6 Th 0.000 0.500 0.500
7 Sb 0.000 0.000 0.500
8 Te 0.264 0.527 0.291
9 Te 0.736 0.473 0.709
10 Te 0.768 0.537 0.299
11 Te 0.232 0.463 0.701
12 Te 0.768 0.031 0.299
13 Te 0.232 0.969 0.701
14 Te 0.263 0.031 0.299
15 Te 0.737 0.969 0.701


# 6
An optimized crystal structure of RbTl2SbTe4, computed with PBE.

a b c (Å): 9.376 9.376 9.203
angles (deg): 119.36 119.36 90.43
Element x y z (fractional)
1 Rb 0.000 0.500 0.000
2 Rb 0.000 0.500 0.500
3 Tl 0.500 0.000 0.000
4 Tl 0.500 0.000 0.500
5 Tl 0.000 0.000 0.500
6 Tl 0.500 0.500 0.000
7 Sb 0.500 0.500 0.500
8 Sb 0.000 0.000 0.000
9 Te 0.269 0.793 0.031
10 Te 0.707 0.231 0.469
11 Te 0.293 0.769 0.531
12 Te 0.731 0.207 0.969
13 Te 0.737 0.763 0.979
14 Te 0.737 0.763 0.521
15 Te 0.263 0.237 0.479
16 Te 0.263 0.237 0.021


# 7
An optimized crystal structure of RbTlSb2Te, computed with PBE.

polymorph energy (0 for the lowest one) = 0.661 eV/atom

a b c (Å): 6.150 6.150 6.309
angles (deg): 90.00 90.00 90.00
Element x y z (fractional)
1 Sb 0.000 0.500 0.000
2 Sb 0.500 0.000 0.000
3 Tl 0.500 0.500 0.500
4 Te 0.000 0.000 0.500
5 Rb 0.000 0.000 0.000


# 8
An optimized crystal structure of RbTlSbTe3, computed with PBE.

a b c (Å): 4.619 9.431 11.347
angles (deg): 106.90 90.00 90.00
Element x y z (fractional)
1 Rb 0.250 0.237 0.273
2 Rb 0.750 0.763 0.727
3 Tl 0.250 0.076 0.626
4 Tl 0.750 0.924 0.374
5 Sb 0.250 0.680 0.114
6 Sb 0.750 0.320 0.886
7 Te 0.750 0.895 0.093
8 Te 0.250 0.105 0.907
9 Te 0.250 0.742 0.435
10 Te 0.750 0.258 0.565
11 Te 0.750 0.468 0.149
12 Te 0.250 0.532 0.851


# 9
An optimized crystal structure of RbTlSb2Te, computed with PBE.

polymorph energy (0 for the lowest one) = 0.000 eV/atom

a b c (Å): 5.823 5.823 6.120
angles (deg): 90.00 90.00 90.00
Element x y z (fractional)
1 Sb 0.000 0.500 0.000
2 Sb 0.500 0.000 0.000
3 Tl 0.000 0.000 0.000
4 Te 0.000 0.000 0.500
5 Rb 0.500 0.500 0.500


# 10
An optimized crystal structure of Rb2TmSbTe4, computed with PBE.

a b c (Å): 9.466 9.466 9.362
angles (deg): 119.63 119.63 90.00
Element x y z (fractional)
1 Rb 0.500 0.000 0.000
2 Rb 0.500 0.000 0.500
3 Rb 0.000 0.000 0.500
4 Rb 0.500 0.500 0.000
5 Tm 0.000 0.500 0.000
6 Tm 0.000 0.500 0.500
7 Sb 0.500 0.500 0.500
8 Sb 0.000 0.000 0.000
9 Te 0.199 0.730 0.965
10 Te 0.770 0.301 0.535
11 Te 0.230 0.699 0.465
12 Te 0.801 0.270 0.035
13 Te 0.769 0.731 0.969
14 Te 0.769 0.731 0.531
15 Te 0.231 0.269 0.469
16 Te 0.231 0.269 0.031


# 11
An optimized crystal structure of Rb3TmSb2Te6, computed with PBE.

a b c (Å): 7.861 7.861 8.930
angles (deg): 98.44 98.44 119.99
Element x y z (fractional)
1 Rb 0.169 0.831 0.500
2 Rb 0.831 0.169 0.500
3 Rb 0.500 0.500 0.500
4 Tm 0.000 0.000 0.000
5 Sb 0.334 0.666 0.000
6 Sb 0.666 0.334 0.000
7 Te 0.935 0.605 0.804
8 Te 0.735 0.735 0.196
9 Te 0.065 0.395 0.196
10 Te 0.605 0.935 0.804
11 Te 0.265 0.265 0.804
12 Te 0.395 0.065 0.196


# 12
An optimized crystal structure of Rb2USbTe5, computed with PBE.

a b c (Å): 4.716 10.778 15.478
angles (deg): 90.00 90.00 102.64
Element x y z (fractional)
1 Rb 0.871 0.741 0.818
2 Rb 0.117 0.233 0.672
3 Rb 0.129 0.259 0.318
4 Rb 0.883 0.767 0.172
5 U 0.800 0.600 0.533
6 U 0.200 0.400 0.033
7 Sb 0.548 0.096 0.929
8 Sb 0.452 0.904 0.429
9 Te 0.333 0.667 0.996
10 Te 0.683 0.367 0.900
11 Te 0.499 0.999 0.762
12 Te 0.294 0.589 0.655
13 Te 0.943 0.886 0.559
14 Te 0.667 0.333 0.496
15 Te 0.317 0.633 0.400
16 Te 0.501 0.001 0.262
17 Te 0.706 0.411 0.155
18 Te 0.057 0.114 0.059


# 13
An optimized crystal structure of Rb3U3SbTe8, computed with PBE.

a b c (Å): 9.047 9.049 10.123
angles (deg): 116.55 90.00 120.00
Element x y z (fractional)
1 Rb 0.000 0.000 0.000
2 Rb 0.000 0.500 0.000
3 Rb 0.500 0.500 0.000
4 U 0.500 0.000 0.500
5 U 0.500 0.500 0.500
6 U 0.000 0.500 0.500
7 Sb 0.000 0.000 0.500
8 Te 0.266 0.533 0.299
9 Te 0.734 0.467 0.701
10 Te 0.766 0.533 0.303
11 Te 0.234 0.467 0.697
12 Te 0.767 0.036 0.303
13 Te 0.233 0.964 0.697
14 Te 0.269 0.036 0.303
15 Te 0.731 0.964 0.697


# 14
An optimized crystal structure of Rb3USb2Te6, computed with PBE.

a b c (Å): 7.952 7.952 8.945
angles (deg): 98.52 98.52 119.99
Element x y z (fractional)
1 Rb 0.167 0.833 0.500
2 Rb 0.833 0.167 0.500
3 Rb 0.500 0.500 0.500
4 U 0.000 0.000 0.000
5 Sb 0.333 0.667 0.000
6 Sb 0.667 0.333 0.000
7 Te 0.934 0.598 0.802
8 Te 0.730 0.730 0.198
9 Te 0.066 0.402 0.198
10 Te 0.598 0.934 0.802
11 Te 0.270 0.270 0.802
12 Te 0.402 0.066 0.198


# 15
An optimized crystal structure of Rb4U3SbTe8, computed with PBE.

a b c (Å): 9.147 10.069 9.133
angles (deg): 116.86 120.05 90.00
Element x y z (fractional)
1 Rb 0.500 0.000 0.000
2 Rb 0.500 0.000 0.500
3 Rb 0.000 0.000 0.000
4 Rb 0.000 0.000 0.500
5 U 0.500 0.500 0.000
6 U 0.500 0.500 0.500
7 U 0.000 0.500 0.500
8 Sb 0.000 0.500 0.000
9 Te 0.234 0.701 0.967
10 Te 0.234 0.701 0.467
11 Te 0.266 0.297 0.531
12 Te 0.734 0.701 0.967
13 Te 0.266 0.299 0.033
14 Te 0.734 0.703 0.469
15 Te 0.766 0.299 0.533
16 Te 0.766 0.299 0.033


# 16
An optimized crystal structure of RbVSbTe2, computed with PBE.

polymorph energy (0 for the lowest one) = 1.966 eV/atom

a b c (Å): 6.126 6.126 5.842
angles (deg): 90.00 90.00 90.00
Element x y z (fractional)
1 Sb 0.000 0.000 0.500
2 Te 0.000 0.500 0.000
3 Te 0.500 0.000 0.000
4 Rb 0.000 0.000 0.000
5 V 0.500 0.500 0.500


# 17
An optimized crystal structure of RbVSbTe2, computed with PBE.

polymorph energy (0 for the lowest one) = 0.000 eV/atom

a b c (Å): 5.412 5.412 5.281
angles (deg): 90.00 90.00 90.00
Element x y z (fractional)
1 Sb 0.000 0.000 0.500
2 Te 0.000 0.500 0.000
3 Te 0.500 0.000 0.000
4 Rb 0.500 0.500 0.500
5 V 0.000 0.000 0.000


# 18
An optimized crystal structure of RbSb2TeW, computed with PBE.

polymorph energy (0 for the lowest one) = 0.000 eV/atom

a b c (Å): 5.324 5.324 5.662
angles (deg): 90.00 90.00 90.00
Element x y z (fractional)
1 Sb 0.000 0.500 0.000
2 Sb 0.500 0.000 0.000
3 Te 0.000 0.000 0.500
4 Rb 0.500 0.500 0.500
5 W 0.000 0.000 0.000


# 19
An optimized crystal structure of RbSbTe2W, computed with PBE.

polymorph energy (0 for the lowest one) = 0.000 eV/atom

a b c (Å): 5.518 5.518 5.315
angles (deg): 90.00 90.00 90.00
Element x y z (fractional)
1 Sb 0.000 0.000 0.500
2 Te 0.000 0.500 0.000
3 Te 0.500 0.000 0.000
4 Rb 0.500 0.500 0.500
5 W 0.000 0.000 0.000


# 20
An optimized crystal structure of RbSb2TeW, computed with PBE.

polymorph energy (0 for the lowest one) = 2.423 eV/atom

a b c (Å): 5.732 5.732 5.866
angles (deg): 90.00 90.00 90.00
Element x y z (fractional)
1 Sb 0.000 0.500 0.000
2 Sb 0.500 0.000 0.000
3 Te 0.000 0.000 0.500
4 Rb 0.000 0.000 0.000
5 W 0.500 0.500 0.500


# 21
An optimized crystal structure of RbSbTe2W, computed with PBE.

polymorph energy (0 for the lowest one) = 2.424 eV/atom

a b c (Å): 5.887 5.887 5.697
angles (deg): 90.00 90.00 90.00
Element x y z (fractional)
1 Sb 0.000 0.000 0.500
2 Te 0.000 0.500 0.000
3 Te 0.500 0.000 0.000
4 Rb 0.000 0.000 0.000
5 W 0.500 0.500 0.500


# 22
An optimized crystal structure of Rb3Y3SbTe8, computed with PBE.

a b c (Å): 8.888 8.903 10.164
angles (deg): 116.07 90.00 119.94
Element x y z (fractional)
1 Rb 0.000 0.000 0.000
2 Rb 0.000 0.500 0.000
3 Rb 0.500 0.500 0.000
4 Y 0.500 0.000 0.500
5 Y 0.500 0.500 0.500
6 Y 0.000 0.500 0.500
7 Sb 0.000 0.000 0.500
8 Te 0.266 0.533 0.300
9 Te 0.734 0.467 0.700
10 Te 0.769 0.539 0.304
11 Te 0.231 0.461 0.696
12 Te 0.769 0.035 0.304
13 Te 0.231 0.965 0.696
14 Te 0.265 0.035 0.304
15 Te 0.735 0.965 0.696


Calculated values (eV/f.u.) of formation energy from raw total energies for the records, taken in order: -3.07; -1.35; -5.18; -1.25; -14.95; -2.19; 4.72; -2.18; 1.41; -7.15; -9.58; -5.31; -10.90; -7.36; -11.88; 9.06; -0.77; 1.19; 0.79; 13.31; 12.91; -16.60.